1.
Li3ScO (PBE, relaxed); calculated total energy = -10.856 eV for the cell shown; energy above the most stable polymorph in this dataset = 1.716 eV per atom; space group = Pm-3m, No. 221
1.0
-3.6418 -2.0379 3.4771
4.0295 -1.7450 3.1976
-0.0826 4.7232 2.6816
Sc O Li
1 1 3
Direct
0.0000 0.0000 0.0000
0.5000 0.5000 0.5000
0.0000 0.5000 0.0000
0.0000 0.0000 0.5000
0.5000 0.0000 0.0000


2.
LiSc2O3 (PBE, relaxed); calculated total energy = -94.533 eV for the cell shown; energy above the most stable polymorph in this dataset = 0.000 eV per atom; space group = Cmmm, No. 65
1.0
-3.8253 -1.8004 -0.9280
2.0505 -3.3848 -1.8853
-0.9372 -1.4767 6.7281
Li Sc O
2 4 6
Direct
0.0000 0.3275 0.6549
0.0000 0.6725 0.3451
0.5000 0.8295 0.6589
0.5000 0.1705 0.3411
0.0000 0.0000 0.0000
0.5000 0.5000 0.0000
0.5000 0.3330 0.6661
0.0000 0.8369 0.6737
0.5000 0.6670 0.3339
0.0000 0.1631 0.3263
0.0000 0.5000 0.0000
0.5000 0.0000 0.0000


3.
LiSc5O8 (PBE, relaxed); calculated total energy = -119.834 eV for the cell shown; space group = F-43m, No. 216
1.0
6.2764 0.0000 0.0000
3.1382 5.4356 0.0000
3.1382 1.8119 5.1247
Li Sc O
1 5 8
Direct
0.2500 0.2500 0.2500
0.0000 0.0000 0.0000
0.6217 0.6217 0.1350
0.6217 0.6217 0.6217
0.1350 0.6217 0.6217
0.6217 0.1350 0.6217
0.3875 0.8374 0.3875
0.8374 0.3875 0.3875
0.3875 0.3875 0.3875
0.3875 0.3875 0.8374
0.8676 0.8676 0.3973
0.3973 0.8676 0.8676
0.8676 0.8676 0.8676
0.8676 0.3973 0.8676


4.
LiSc3O4 (PBE, relaxed); calculated total energy = -64.568 eV for the cell shown; space group = Pm-3m, No. 221
1.0
4.3933 0.0000 0.0000
0.0000 4.3933 0.0000
0.0000 0.0000 4.3933
Sc O Li
3 4 1
Direct
0.0000 0.5000 0.5000
0.5000 0.0000 0.5000
0.5000 0.5000 0.0000
0.5000 0.0000 0.0000
0.0000 0.5000 0.0000
0.0000 0.0000 0.5000
0.5000 0.5000 0.5000
0.0000 0.0000 0.0000


What did the first record say?
Li3ScO (PBE, relaxed); calculated total energy = -10.856 eV for the cell shown; energy above the most stable polymorph in this dataset = 1.716 eV per atom; space group = Pm-3m, No. 221
1.0
-3.6418 -2.0379 3.4771
4.0295 -1.7450 3.1976
-0.0826 4.7232 2.6816
Sc O Li
1 1 3
Direct
0.0000 0.0000 0.0000
0.5000 0.5000 0.5000
0.0000 0.5000 0.0000
0.0000 0.0000 0.5000
0.5000 0.0000 0.0000